No. 1
Sr2ZrIn | PBE | relaxed

Lattice parameters (Å, degrees): 3.752 4.105 9.234 90.00 90.00 90.00
Atoms (fractional coordinates):
Zr: 0.000 0.000 0.561
Sr: 0.000 0.000 0.939
Sr: 0.500 0.500 0.305
In: 0.500 0.500 0.696

Total energy (eV per atom): -3.60
Space-group type: No. 25

=====

No. 2
CaSbPbBr2 | PBE | relaxed

Lattice parameters (Å, degrees): 5.256 10.214 5.256 90.00 90.00 90.00
Atoms (fractional coordinates):
Ca: 0.000 0.000 0.000
Br: 0.500 0.000 0.000
Br: 0.000 0.000 0.500
Sb: 0.500 0.500 0.500
Pb: 0.000 0.500 0.000

Formation energy (no corrections) (eV/atom): -0.4611
Space-group type: No. 123

=====

No. 3
Na2InAsF6 | PBE | relaxed

Lattice parameters (Å, degrees): 6.453 6.453 6.453 60.00 60.00 60.00
Atoms (fractional coordinates):
F: 0.227 0.227 0.773
F: 0.773 0.227 0.227
F: 0.227 0.773 0.773
F: 0.773 0.773 0.227
F: 0.227 0.773 0.227
F: 0.773 0.227 0.773
In: 0.500 0.500 0.500
Na: 0.250 0.250 0.250
Na: 0.750 0.750 0.750
As: 0.000 0.000 0.000

Formation energy (no corrections) (eV/atom): -2.0724
Space-group type: No. 225

=====

No. 4
Sr2CaCl | PBE | relaxed

Lattice parameters (Å, degrees): 3.964 4.190 10.485 89.96 90.00 90.00
Atoms (fractional coordinates):
Sr: 0.000 0.750 0.973
Sr: 0.000 0.750 0.527
Cl: 0.500 0.750 0.750
Ca: 0.500 0.250 0.250

Formation energy (no corrections) (eV/atom): -0.7968
Space-group type: No. 47